VASP calculation (GGA-PBE) on a relaxed KBa2IrO4 crystal.

POSCAR file:
```
KBa2IrO4
1.0
-3.179 3.179 3.660
3.179 -3.179 3.660
3.179 3.179 -3.660
K Ba Ir O
1 2 1 4
Direct
0.000 0.000 0.000
0.250 0.750 0.500
0.750 0.250 0.500
0.500 0.500 0.000
0.280 0.280 0.560
0.280 0.720 0.000
0.720 0.280 0.000
0.720 0.720 0.440
```

Values from the calculation:
Calculated volume   147.96 Å³/cell
Space group   No. 139
M_tot   0.25 μB per atom
Crystal system   tetragonal
Formation energy without anion corrections   -1773.5 meV/atom